# Tb5Ho2ErTh | the Alexandria database | PBE-GGA | relaxed
# crystal system = orthorhombic
# E_tot = -171.41 eV/cell
# M_tot = 0.000 μB/atom
data_Tb5Ho2ErTh
_chemical_formula_sum 'Tb20 Ho8 Er4 Th4'
_cell_length_a 5.6960
_cell_length_b 21.5368
_cell_length_c 9.6687
_cell_angle_alpha 90.00
_cell_angle_beta 90.00
_cell_angle_gamma 90.00
_symmetry_space_group_name_H-M 'C m c 21'
_symmetry_Int_Tables_number 36
loop_
_symmetry_equiv_pos_as_xyz
'x,y,z'
'-x,-y,z+1/2'
'-x,y,z'
'x,-y,z+1/2'
'x+1/2,y+1/2,z'
'-x+1/2,-y+1/2,z+1/2'
'-x+1/2,y+1/2,z'
'x+1/2,-y+1/2,z+1/2'
loop_
_atom_site_label
_atom_site_type_symbol
_atom_site_fract_x
_atom_site_fract_y
_atom_site_fract_z
Tb1 Tb 0.0000 0.0146 0.0000
Tb2 Tb 0.0000 0.2717 0.3059
Tb3 Tb 0.0000 0.3037 0.6999
Tb4 Tb 0.0000 0.3984 0.0256
Tb5 Tb 0.0000 0.4687 0.7266
Ho1 Ho 0.0000 0.1160 0.3127
Ho2 Ho 0.0000 0.1288 0.6947
Er1 Er 0.0000 0.1890 0.0001
Th1 Th 0.0000 0.4047 0.4062


# Pm2BiO | the Alexandria database | PBE-GGA | relaxed
# crystal system = monoclinic
# polymorph energy (0 for the lowest one) = 260 meV per atom
# formation energy (no corrections) = -1.6417 eV per atom
# M_tot = 0.000 μB/atom
data_Pm2BiO
_chemical_formula_sum 'Pm8 Bi4 O4'
_cell_length_a 6.5226
_cell_length_b 6.5486
_cell_length_c 11.8397
_cell_angle_alpha 90.00
_cell_angle_beta 115.58
_cell_angle_gamma 90.00
_symmetry_space_group_name_H-M 'P 1 2/c 1'
_symmetry_Int_Tables_number 13
loop_
_symmetry_equiv_pos_as_xyz
'x,y,z'
'-x,-y,-z'
'-x,y,-z+1/2'
'x,-y,z+1/2'
loop_
_atom_site_label
_atom_site_type_symbol
_atom_site_fract_x
_atom_site_fract_y
_atom_site_fract_z
Pm1 Pm 0.0658 0.2206 0.0853
Pm2 Pm 0.2883 0.1899 0.8369
Bi1 Bi 0.3897 0.2979 0.3749
O1 O 0.0154 0.1212 0.6212


# ErTh2Ir9 | the Alexandria database | PBE-GGA | relaxed
# crystal system = trigonal
# E_tot = -319.77 eV/cell
# M_tot = 0.000 μB/atom
data_ErTh2Ir9
_chemical_formula_sum 'Er3 Th6 Ir27'
_cell_length_a 5.3345
_cell_length_b 5.3345
_cell_length_c 26.8039
_cell_angle_alpha 90.00
_cell_angle_beta 90.00
_cell_angle_gamma 120.00
_symmetry_space_group_name_H-M 'R -3 m'
_symmetry_Int_Tables_number 166
_symmetry_space_group_name_Hall '-R 3 2"'
loop_
_atom_site_label
_atom_site_type_symbol
_atom_site_fract_x
_atom_site_fract_y
_atom_site_fract_z
Er1 Er 0.0000 0.0000 0.0000
Th1 Th 0.0000 0.0000 0.1378
Ir1 Ir 0.0000 0.0000 0.3326
Ir2 Ir 0.0000 0.0000 0.5000
Ir3 Ir 0.0000 0.5000 0.0810


# BaNi2Te | the Alexandria database | PBE-GGA | relaxed
# crystal system = monoclinic
# formation energy (no corrections) = 0.1862 eV per atom
# M_tot = 0.000 μB/atom
data_BaNi2Te
_chemical_formula_sum 'Ba2 Ni4 Te2'
_cell_length_a 6.6449
_cell_length_b 7.7114
_cell_length_c 4.9697
_cell_angle_alpha 90.00
_cell_angle_beta 130.79
_cell_angle_gamma 90.00
_symmetry_space_group_name_H-M 'C 1 2/m 1'
_symmetry_Int_Tables_number 12
loop_
_symmetry_equiv_pos_as_xyz
'x,y,z'
'-x,-y,-z'
'-x,y,-z'
'x,-y,z'
'x+1/2,y+1/2,z'
'-x+1/2,-y+1/2,-z'
'-x+1/2,y+1/2,-z'
'x+1/2,-y+1/2,z'
loop_
_atom_site_label
_atom_site_type_symbol
_atom_site_fract_x
_atom_site_fract_y
_atom_site_fract_z
Ba1 Ba 0.0000 0.0000 0.0000
Ni1 Ni 0.2500 0.2500 0.5000
Te1 Te 0.0000 0.5000 0.0000


# NpSc2In | the Alexandria database | PBE-GGA | relaxed
# crystal system = tetragonal
# polymorph energy (0 for the lowest one) = 0 meV per atom
# M_tot = 0.897 μB/atom
data_NpSc2In
_chemical_formula_sum 'Np1 Sc2 In1'
_cell_length_a 3.2031
_cell_length_b 3.2031
_cell_length_c 8.8472
_cell_angle_alpha 90.00
_cell_angle_beta 90.00
_cell_angle_gamma 90.00
_symmetry_space_group_name_H-M 'P 4/m m m'
_symmetry_Int_Tables_number 123
_symmetry_space_group_name_Hall '-P 4 2'
loop_
_atom_site_label
_atom_site_type_symbol
_atom_site_fract_x
_atom_site_fract_y
_atom_site_fract_z
Np1 Np 0.0000 0.0000 0.0000
Sc1 Sc 0.5000 0.5000 0.2552
In1 In 0.0000 0.0000 0.5000


# NaTaCu2Bi | the Alexandria database | PBE-GGA | relaxed
# crystal system = tetragonal
# E_tot = -18.55 eV/cell
# M_tot = 0.238 μB/atom
data_NaTaCu2Bi
_chemical_formula_sum 'Na1 Ta1 Cu2 Bi1'
_cell_length_a 4.8330
_cell_length_b 4.8330
_cell_length_c 5.4565
_cell_angle_alpha 90.00
_cell_angle_beta 90.00
_cell_angle_gamma 90.00
_symmetry_space_group_name_H-M 'P 4/m m m'
_symmetry_Int_Tables_number 123
_symmetry_space_group_name_Hall '-P 4 2'
loop_
_atom_site_label
_atom_site_type_symbol
_atom_site_fract_x
_atom_site_fract_y
_atom_site_fract_z
Na1 Na 0.0000 0.0000 0.0000
Ta1 Ta 0.0000 0.0000 0.5000
Cu1 Cu 0.0000 0.5000 0.5000
Bi1 Bi 0.5000 0.5000 0.0000